# ScTl2HgBr6

An optimized crystal structure of ScTl2HgBr6 (GGA-PBE, OQMD).

Geometry as POSCAR:
```
ScTl2HgBr6
1.0
0.000 5.576 5.576
5.576 0.000 5.576
5.576 5.576 0.000
Br Sc Tl Hg
6 1 2 1
direct
0.737 0.737 0.263
0.737 0.263 0.737
0.263 0.737 0.737
0.737 0.263 0.263
0.263 0.263 0.737
0.263 0.737 0.263
0.500 0.500 0.500
0.250 0.250 0.250
0.750 0.750 0.750
0.000 0.000 0.000
```

The calculation puts the calculated volume at 34.7 Å³/atom. The value obtained for the total energy is -31.1 eV for the cell shown. Its space-group type is Fm-3m, No. 225.


# DyTmIn2Pt4

An optimized crystal structure of DyTmIn2Pt4 (GGA-PBE, OQMD).

Geometry as POSCAR:
```
DyTmIn2Pt4
1.0
4.570 0.000 0.000
-2.285 3.958 0.000
0.000 0.000 8.987
In Pt Dy Tm
2 4 1 1
direct
0.667 0.333 0.251
0.667 0.333 0.749
0.000 0.000 0.656
0.000 0.000 0.344
0.333 0.667 0.840
0.333 0.667 0.160
0.000 0.000 0.000
0.333 0.667 0.500
```

The calculation puts the calculated volume at 20.3 Å³/atom. The value obtained for the total energy is -46.6 eV for the cell shown. Its space-group type is P-6m2, No. 187.


Among the records above, which one has the highest calculated volume? ScTl2HgBr6


The lowest calculated volume belongs to which entry? DyTmIn2Pt4


Which formula does entry 2 have? DyTmIn2Pt4


Repeat the second record exactly.
# DyTmIn2Pt4

An optimized crystal structure of DyTmIn2Pt4 (GGA-PBE, OQMD).

Geometry as POSCAR:
```
DyTmIn2Pt4
1.0
4.570 0.000 0.000
-2.285 3.958 0.000
0.000 0.000 8.987
In Pt Dy Tm
2 4 1 1
direct
0.667 0.333 0.251
0.667 0.333 0.749
0.000 0.000 0.656
0.000 0.000 0.344
0.333 0.667 0.840
0.333 0.667 0.160
0.000 0.000 0.000
0.333 0.667 0.500
```

The calculation puts the calculated volume at 20.3 Å³/atom. The value obtained for the total energy is -46.6 eV for the cell shown. Its space-group type is P-6m2, No. 187.